Entry A
Computed, not measured: a relaxed structure of LiAgSbTe2 at the GGA-PBE level of DFT.

a b c (Å): 5.627 5.627 5.245
angles (deg): 90.00 90.00 90.00
Fractional positions:
1 Sb 0.000 0.000 0.500
2 Te 0.000 0.500 0.000
3 Te 0.500 0.000 0.000
4 Ag 0.000 0.000 0.000
5 Li 0.500 0.500 0.500


Entry B
Computed, not measured: a relaxed structure of LiAgSbTe2 at the GGA-PBE level of DFT.

a b c (Å): 5.202 5.202 4.892
angles (deg): 90.00 90.00 90.00
Fractional positions:
1 Sb 0.000 0.000 0.500
2 Te 0.000 0.500 0.000
3 Te 0.500 0.000 0.000
4 Ag 0.500 0.500 0.500
5 Li 0.000 0.000 0.000


Most stable: entry A (next structure +0.051 eV/atom)


Entry A
Computed, not measured: a relaxed structure of Li2ScAg at the GGA-PBE level of DFT.

a b c (Å): 2.943 2.943 9.267
angles (deg): 90.00 90.00 106.35
Fractional positions:
1 Ag 0.500 0.500 0.750
2 Li 0.000 0.000 0.971
3 Li 0.000 0.000 0.529
4 Sc 0.500 0.500 0.250


Entry B
Computed, not measured: a relaxed structure of Li2ScAg at the GGA-PBE level of DFT.

a b c (Å): 5.418 5.418 4.803
angles (deg): 72.78 72.78 35.02
Fractional positions:
1 Sc 0.750 0.750 0.750
2 Ag 0.250 0.250 0.250
3 Li 0.978 0.978 0.034
4 Li 0.522 0.522 0.466


Most stable: entry B (next structure +0.076 eV/atom)


Entry A
Computed, not measured: a relaxed structure of Li2ScAg at the GGA-PBE level of DFT.

a b c (Å): 4.627 4.627 4.627
angles (deg): 60.00 60.00 60.00
Fractional positions:
1 Sc 0.000 0.000 0.000
2 Ag 0.500 0.500 0.500
3 Li 0.250 0.250 0.250
4 Li 0.750 0.750 0.750


Entry B
Computed, not measured: a relaxed structure of Li2ScAg at the GGA-PBE level of DFT.

a b c (Å): 5.013 5.013 4.367
angles (deg): 64.19 64.19 49.61
Fractional positions:
1 Ag 0.253 0.253 0.247
2 Li 0.000 0.000 0.000
3 Li 0.746 0.746 0.754
4 Sc 0.500 0.500 0.500


Most stable: entry B (next structure +0.066 eV/atom)


Entry A
Computed, not measured: a relaxed structure of Li2ScAg at the GGA-PBE level of DFT.

a b c (Å): 5.278 5.278 2.982
angles (deg): 90.00 90.00 113.57
Fractional positions:
1 Ag 0.000 0.500 0.500
2 Li 0.000 0.000 0.000
3 Li 0.500 0.500 0.000
4 Sc 0.500 0.000 0.500


Entry B
Computed, not measured: a relaxed structure of Li2ScAg at the GGA-PBE level of DFT.

a b c (Å): 7.503 7.503 6.014
angles (deg): 51.40 51.40 90.00
Fractional positions:
1 Sc 0.500 0.500 0.000
2 Sc 0.250 0.750 0.500
3 Ag 0.000 0.000 0.000
4 Ag 0.750 0.250 0.500
5 Li 0.664 0.125 0.250
6 Li 0.086 0.625 0.250
7 Li 0.375 0.336 0.750
8 Li 0.875 0.914 0.750


Entry C
Computed, not measured: a relaxed structure of Li2ScAg at the GGA-PBE level of DFT.

a b c (Å): 3.051 3.051 9.792
angles (deg): 81.04 81.04 60.00
Fractional positions:
1 Li 0.074 0.074 0.777
2 Li 0.259 0.259 0.223
3 Sc 0.500 0.500 0.501
4 Ag 0.667 0.667 0.999


Entry D
Computed, not measured: a relaxed structure of Li2ScAg at the GGA-PBE level of DFT.

a b c (Å): 5.833 5.081 3.019
angles (deg): 86.71 76.48 114.88
Fractional positions:
1 Ag 0.500 0.000 0.500
2 Li 0.000 0.000 0.000
3 Li 0.000 0.500 0.500
4 Sc 0.500 0.500 0.000


Most stable: entry D (next structure +0.011 eV/atom)


Entry A
Computed, not measured: a relaxed structure of Li2ScAg at the GGA-PBE level of DFT.

a b c (Å): 4.721 4.721 4.721
angles (deg): 60.00 60.00 60.00
Fractional positions:
1 Ag 0.500 0.500 0.500
2 Li 0.000 0.000 0.000
3 Li 0.750 0.750 0.750
4 Sc 0.250 0.250 0.250


Entry B
Computed, not measured: a relaxed structure of Li2ScAg at the GGA-PBE level of DFT.

a b c (Å): 3.430 3.328 7.514
angles (deg): 63.61 90.00 90.00
Fractional positions:
1 Sc 0.000 0.474 0.527
2 Ag 0.500 0.727 0.773
3 Li 0.000 0.011 0.990
4 Li 0.500 0.288 0.211


Most stable: entry B (next structure +0.035 eV/atom)


Entry A
Computed, not measured: a relaxed structure of Li2ScAg at the GGA-PBE level of DFT.

a b c (Å): 3.351 3.360 6.531
angles (deg): 90.00 90.00 90.00
Fractional positions:
1 Ag 0.500 0.500 0.750
2 Li 0.000 0.000 0.953
3 Li 0.000 0.000 0.547
4 Sc 0.500 0.500 0.250


Entry B
Computed, not measured: a relaxed structure of Li2ScAg at the GGA-PBE level of DFT.

a b c (Å): 9.742 9.742 9.742
angles (deg): 18.40 18.40 18.40
Fractional positions:
1 Ag 0.746 0.746 0.746
2 Li 0.005 0.005 0.005
3 Li 0.253 0.253 0.253
4 Sc 0.495 0.495 0.495


Most stable: entry A (next structure +0.012 eV/atom)